No. 1
VASP calculation (PBEsol) on a geometry-optimized Sr3TiH structure.

Cell: 5.308 5.308 5.308 Å, 90.00 90.00 90.00°
Space group Pm-3m (No. 221)
Inequivalent atoms, fractional coordinates:
Sr  0.000  0.000  0.500 x3
Ti  0.500  0.500  0.500 x1
H  0.000  0.000  0.000 x1

Calculated values
Crystal system: cubic
Raw total energy (eV per atom): -3.16



No. 2
VASP calculation (PBEsol) on a geometry-optimized TaInBr structure.

Cell: 6.458 6.458 6.458 Å, 90.00 90.00 90.00°
Space group F-43m (No. 216)
Inequivalent atoms, fractional coordinates:
Ta  0.000  0.000  0.000 x4
In  0.000  0.000  0.500 x4
Br  0.250  0.250  0.750 x4

Calculated values
Crystal system: cubic
Raw total energy (eV per atom): -4.61
Energy above the most stable polymorph in this dataset (meV/atom): 1012